DFT (PBE-GGA) results for a geometry-optimized ThNb2MoC4 structure.

Values from the calculation:
energy of formation from the pure elements: -4.90 kcal/mol of atoms

Lattice parameters (Å, degrees): 6.047 6.047 11.222 90.00 90.00 148.07
Element x y z (fractional)
Th 0.107 0.893 0.750
Th 0.893 0.107 0.250
Nb 0.373 0.627 0.537
Nb 0.373 0.627 0.963
Nb 0.627 0.373 0.037
Nb 0.627 0.373 0.463
Mo 0.157 0.843 0.250
Mo 0.843 0.157 0.750
C 0.000 0.000 0.000
C 0.000 0.000 0.500
C 0.264 0.736 0.112
C 0.264 0.736 0.388
C 0.443 0.557 0.750
C 0.557 0.443 0.250
C 0.736 0.264 0.612
C 0.736 0.264 0.888